[1]
First-principles (GGA-PBE) data for crystalline CePmCdSi at its relaxed geometry, as listed in Alexandria.

Lattice parameters (Å, degrees): 5.2319 5.2319 5.2319 60.00 60.00 60.00
Element x y z (fractional)
Ce: 0.0000 0.0000 0.0000
Pm: 0.5000 0.5000 0.5000
Cd: 0.7500 0.7500 0.7500
Si: 0.2500 0.2500 0.2500

- Uncorrected formation energy: -125 kJ/mol of formula units
- DOS(E_F): 2.03 states/eV per atom
- Size of the total moment: 0.96 μB per formula unit

[2]
First-principles (GGA-PBE) data for crystalline CePmSmCd at its relaxed geometry, as listed in Alexandria.

Lattice parameters (Å, degrees): 5.5247 5.5247 5.5247 60.00 60.00 60.00
Element x y z (fractional)
Ce: 0.0000 0.0000 0.0000
Pm: 0.7500 0.7500 0.7500
Sm: 0.5000 0.5000 0.5000
Cd: 0.2500 0.2500 0.2500

- DOS(E_F): 2.19 states/eV per atom
- Size of the total moment: 1.68 μB per formula unit
- Energy of formation from the pure elements: 0.74 kcal/mol of atoms